# MnTcSb2

MnTcSb2 after structural relaxation (PBE, the Alexandria database).

The structure in POSCAR format:
```
MnTcSb2
1.0
3.213 0.000 0.000
0.000 3.213 0.000
0.000 0.000 7.968
Mn Tc Sb
1 1 2
Cartesian
0.000 0.000 0.000 Mn
1.606 1.606 6.622 Tc
0.000 0.000 4.915 Sb
1.606 1.606 1.611 Sb
```

Properties
Its space group is P4mm (99). The uncorrected formation energy is 0.08 eV per atom. The value obtained for the energy above the most stable polymorph in this dataset is 0 meV/atom.